Computed, not measured: a geometry-optimized C2Se structure at the PBE level of DFT.

E_form (uncorrected)   2882 meV per atom
E_tot   -26.6 eV per cell
ΔE to the lowest computed polymorph   2610 meV per atom

abc: 4.715 4.715 3.108
angles: 90.00 90.00 90.00
Sites, in units of the cell vectors:
C1 0.803 0.803 0.000
C2 0.197 0.197 0.000
C3 0.303 0.697 0.500
C4 0.697 0.303 0.500
Se1 0.500 0.500 0.000
Se2 0.000 0.000 0.500